(1)
{
  "formula": "Fe4SbOs",
  "functional": "PBE-GGA",
  "state": "optimized geometry",
  "total_energy_ev_per_atom": -7.915,
  "magnetic_moment_mub_per_cell": 10.70,
  "density_kg_m3": 10912,
  "formation_energy_uncorrected_mev_per_atom": 286,
  "lattice": [[0.0000, 3.4408, 3.4408], [3.4408, 0.0000, 3.4408], [3.4408, 3.4408, 0.0000]],
  "species": ["Fe", "Fe", "Fe", "Fe", "Sb", "Os"],
  "frac_coords": [[0.3756, 0.3756, 0.3756], [0.3756, 0.3756, 0.8731], [0.3756, 0.8731, 0.3756], [0.8731, 0.3756, 0.3756], [0.0000, 0.0000, 0.0000], [0.7500, 0.7500, 0.7500]]
}

---

(2)
{
  "formula": "AcEuI",
  "functional": "PBE-GGA",
  "state": "optimized geometry",
  "total_energy_ev_per_atom": -5.978,
  "magnetic_moment_mub_per_cell": 7.24,
  "density_kg_m3": 6787,
  "relative_energy_ev_per_fu": 0.00,
  "formation_energy_uncorrected_mev_per_atom": -667,
  "lattice": [[4.1252, 0.0000, 0.0000], [-2.0626, 3.5726, 0.0000], [0.0000, 0.0000, 8.3979]],
  "species": ["Ac", "Eu", "I"],
  "frac_coords": [[0.0000, 0.0000, 0.0000], [0.6667, 0.3333, 0.3825], [0.3333, 0.6667, 0.6832]]
}

---

Repeat the second record exactly.
{
  "formula": "AcEuI",
  "functional": "PBE-GGA",
  "state": "optimized geometry",
  "total_energy_ev_per_atom": -5.978,
  "magnetic_moment_mub_per_cell": 7.24,
  "density_kg_m3": 6787,
  "relative_energy_ev_per_fu": 0.00,
  "formation_energy_uncorrected_mev_per_atom": -667,
  "lattice": [[4.1252, 0.0000, 0.0000], [-2.0626, 3.5726, 0.0000], [0.0000, 0.0000, 8.3979]],
  "species": ["Ac", "Eu", "I"],
  "frac_coords": [[0.0000, 0.0000, 0.0000], [0.6667, 0.3333, 0.3825], [0.3333, 0.6667, 0.6832]]
}

---

> Number 1 is which compound?

Fe4SbOs